Entry 1:
The following is a GGA-PBEsol calculation of LiInS2 after structural relaxation, from Alexandria.

Properties
N(E_F)   0.000 states/eV per atom
Formation energy (no corrections)   -0.939 eV/atom
Volume   22.47 Å³ per atom

a b c (Å): 6.8934 8.0445 6.4823
angles (deg): 90.00 90.00 90.00
Space group Pna2_1 (No. 33)
Inequivalent atoms, fractional coordinates:
Li (0.0855, 0.1239, 0.0000) x4
In (0.0810, 0.6257, 0.0019) x4
S (0.0815, 0.6292, 0.3833) x4
S (0.0824, 0.1218, 0.3741) x4

---

Entry 2:
The following is a GGA-PBEsol calculation of TaSbH2 after structural relaxation, from Alexandria.

Properties
N(E_F)   0.860 states/eV per atom
Volume   11.85 Å³ per atom
Electronic total energy   -5.0260 eV per atom

a b c (Å): 5.7450 5.7450 5.7450
angles (deg): 90.00 90.00 90.00
Space group Fm-3m (No. 225)
Inequivalent atoms, fractional coordinates:
Ta (0.0000, 0.0000, 0.0000) x4
Sb (0.0000, 0.0000, 0.5000) x4
H (0.2500, 0.2500, 0.2500) x8

---

Entry 3:
The following is a GGA-PBEsol calculation of CsYNb3 after structural relaxation, from Alexandria.

Properties
N(E_F)   1.716 states/eV per atom
Volume   27.53 Å³ per atom
Calculated formation energy   2.271 eV/atom

a b c (Å): 5.1635 5.1635 5.1635
angles (deg): 90.00 90.00 90.00
Space group Pm-3m (No. 221)
Inequivalent atoms, fractional coordinates:
Cs (0.0000, 0.0000, 0.0000) x1
Y (0.5000, 0.5000, 0.5000) x1
Nb (0.0000, 0.5000, 0.5000) x3